{"formula": "Cd2AgBi", "functional": "PBE-GGA", "state": "optimized geometry", "lattice": [[0.000, 3.624, 3.624], [3.624, 0.000, 3.624], [3.624, 3.624, 0.000]], "species": ["Cd", "Cd", "Ag", "Bi"], "frac_coords": [[0.000, 0.000, 0.000], [0.250, 0.250, 0.250], [0.750, 0.750, 0.750], [0.500, 0.500, 0.500]], "energy_ev_per_fu": -8.28}

=====

{"formula": "CdAgBi2", "functional": "PBE-GGA", "state": "optimized geometry", "lattice": [[0.000, 3.785, 3.785], [3.785, 0.000, 3.785], [3.785, 3.785, 0.000]], "species": ["Cd", "Ag", "Bi", "Bi"], "frac_coords": [[0.000, 0.000, 0.000], [0.750, 0.750, 0.750], [0.250, 0.250, 0.250], [0.500, 0.500, 0.500]], "energy_ev_per_fu": -11.12}

=====

{"formula": "CdCoAgBi", "functional": "PBE-GGA", "state": "optimized geometry", "lattice": [[0.000, 3.387, 3.387], [3.387, 0.000, 3.387], [3.387, 3.387, 0.000]], "species": ["Cd", "Co", "Ag", "Bi"], "frac_coords": [[0.000, 0.000, 0.000], [0.750, 0.750, 0.750], [0.250, 0.250, 0.250], [0.500, 0.500, 0.500]], "e_above_lowest_polymorph_mev_per_atom": 0, "magmom_total_mub_per_fu": 0.10}

=====

{"formula": "CdFeAgBi", "functional": "PBE-GGA", "state": "optimized geometry", "lattice": [[0.000, 3.448, 3.448], [3.448, 0.000, 3.448], [3.448, 3.448, 0.000]], "species": ["Cd", "Fe", "Ag", "Bi"], "frac_coords": [[0.000, 0.000, 0.000], [0.750, 0.750, 0.750], [0.250, 0.250, 0.250], [0.500, 0.500, 0.500]], "e_above_lowest_polymorph_mev_per_atom": 0, "magmom_total_mub_per_fu": 2.63}

=====

{"formula": "CdAg2Bi6Se11", "functional": "PBE-GGA", "state": "optimized geometry", "lattice": [[6.925, -2.094, 0.000], [6.925, 2.094, 0.000], [-4.527, 0.000, 19.159]], "species": ["Cd", "Ag", "Ag", "Bi", "Bi", "Bi", "Bi", "Bi", "Bi", "Se", "Se", "Se", "Se", "Se", "Se", "Se", "Se", "Se", "Se", "Se"], "frac_coords": [[0.000, 0.000, 0.000], [0.400, 0.400, 0.551], [0.600, 0.600, 0.449], [0.109, 0.109, 0.271], [0.142, 0.142, 0.636], [0.313, 0.313, 0.100], [0.687, 0.687, 0.900], [0.858, 0.858, 0.364], [0.891, 0.891, 0.729], [0.000, 0.000, 0.500], [0.040, 0.040, 0.872], [0.238, 0.238, 0.411], [0.275, 0.275, 0.775], [0.345, 0.345, 0.967], [0.478, 0.478, 0.312], [0.522, 0.522, 0.688], [0.655, 0.655, 0.033], [0.725, 0.725, 0.225], [0.762, 0.762, 0.589], [0.960, 0.960, 0.128]], "energy_ev_per_fu": -75.93}

=====

{"formula": "Cs2AgBiCl6", "functional": "PBE-GGA", "state": "optimized geometry", "lattice": [[7.632, 0.000, 0.000], [0.000, 7.655, 0.000], [-7.582, 0.000, 10.976]], "species": ["Cs", "Cs", "Cs", "Cs", "Ag", "Ag", "Bi", "Bi", "Cl", "Cl", "Cl", "Cl", "Cl", "Cl", "Cl", "Cl", "Cl", "Cl", "Cl", "Cl"], "frac_coords": [[0.244, 0.022, 0.250], [0.244, 0.478, 0.750], [0.756, 0.522, 0.250], [0.756, 0.978, 0.750], [0.000, 0.000, 0.500], [0.000, 0.500, 0.000], [0.500, 0.000, 0.000], [0.500, 0.500, 0.500], [0.204, 0.221, 0.984], [0.204, 0.279, 0.484], [0.266, 0.721, 0.987], [0.266, 0.779, 0.487], [0.280, 0.502, 0.252], [0.280, 0.998, 0.752], [0.720, 0.002, 0.248], [0.720, 0.498, 0.748], [0.734, 0.221, 0.513], [0.734, 0.279, 0.013], [0.796, 0.721, 0.516], [0.796, 0.779, 0.016]], "energy_ev_per_fu": -33.12}

=====

{"formula": "Cs2AgBiCl6", "functional": "PBE-GGA", "state": "optimized geometry", "lattice": [[-3.798, 3.798, 5.567], [3.798, -3.798, 5.567], [3.798, 3.798, -5.567]], "species": ["Cs", "Cs", "Ag", "Bi", "Cl", "Cl", "Cl", "Cl", "Cl", "Cl"], "frac_coords": [[0.250, 0.750, 0.500], [0.750, 0.250, 0.500], [0.000, 0.000, 0.000], [0.500, 0.500, 0.000], [0.207, 0.710, 0.917], [0.254, 0.254, 0.000], [0.290, 0.207, 0.498], [0.710, 0.793, 0.502], [0.746, 0.746, 0.000], [0.793, 0.290, 0.083]], "energy_ev_per_fu": -33.11}

=====

{"formula": "Cs2AgBiCl6", "functional": "PBE-GGA", "state": "optimized geometry", "lattice": [[7.688, 0.000, 0.000], [-0.001, 7.692, 0.000], [-0.001, -0.003, 10.876]], "species": ["Cs", "Cs", "Cs", "Cs", "Ag", "Ag", "Bi", "Bi", "Cl", "Cl", "Cl", "Cl", "Cl", "Cl", "Cl", "Cl", "Cl", "Cl", "Cl", "Cl"], "frac_coords": [[0.000, 0.000, 0.000], [0.000, 0.000, 0.500], [0.500, 0.500, 0.000], [0.500, 0.500, 0.500], [0.000, 0.499, 0.250], [0.500, 0.000, 0.750], [0.000, 0.500, 0.750], [0.500, 0.999, 0.250], [0.001, 0.500, 0.500], [0.243, 0.755, 0.249], [0.248, 0.246, 0.751], [0.254, 0.747, 0.751], [0.255, 0.256, 0.250], [0.499, 0.999, 0.501], [0.501, 0.000, 0.000], [0.745, 0.743, 0.251], [0.746, 0.253, 0.749], [0.753, 0.754, 0.750], [0.757, 0.244, 0.251], [0.999, 0.500, 0.001]], "energy_ev_per_fu": -33.12}

=====

{"formula": "Cs2AgBiCl6", "functional": "PBE-GGA", "state": "optimized geometry", "lattice": [[6.656, -3.846, 0.000], [6.656, 3.846, 0.000], [-4.434, 0.000, 6.280]], "species": ["Cs", "Cs", "Ag", "Bi", "Cl", "Cl", "Cl", "Cl", "Cl", "Cl"], "frac_coords": [[0.250, 0.250, 0.250], [0.750, 0.750, 0.750], [0.000, 0.000, 0.500], [0.500, 0.500, 0.000], [0.249, 0.249, 0.749], [0.249, 0.750, 0.250], [0.250, 0.751, 0.750], [0.750, 0.249, 0.250], [0.751, 0.250, 0.750], [0.751, 0.751, 0.251]], "energy_ev_per_fu": -33.12}

=====

{"formula": "Cs2AgBiCl6", "functional": "PBE-GGA", "state": "optimized geometry", "lattice": [[3.843, 2.219, 6.281], [-3.843, 2.219, 6.281], [0.000, -4.438, 6.281]], "species": ["Cs", "Cs", "Ag", "Bi", "Cl", "Cl", "Cl", "Cl", "Cl", "Cl"], "frac_coords": [[0.250, 0.250, 0.250], [0.750, 0.750, 0.750], [0.000, 0.000, 0.000], [0.500, 0.500, 0.500], [0.248, 0.750, 0.251], [0.250, 0.749, 0.752], [0.251, 0.248, 0.750], [0.749, 0.752, 0.250], [0.750, 0.251, 0.248], [0.752, 0.250, 0.749]], "energy_ev_per_fu": -33.12}

=====

{"formula": "Cs2AgBiCl6", "functional": "PBE-GGA", "state": "optimized geometry", "lattice": [[0.000, 5.435, 5.435], [5.435, 0.000, 5.435], [5.435, 5.435, 0.000]], "species": ["Cs", "Cs", "Ag", "Bi", "Cl", "Cl", "Cl", "Cl", "Cl", "Cl"], "frac_coords": [[0.250, 0.250, 0.250], [0.750, 0.750, 0.750], [0.000, 0.000, 0.000], [0.500, 0.500, 0.500], [0.250, 0.250, 0.750], [0.250, 0.750, 0.250], [0.250, 0.750, 0.750], [0.750, 0.250, 0.250], [0.750, 0.250, 0.750], [0.750, 0.750, 0.250]], "energy_ev_per_fu": -33.12}

=====

{"formula": "K2AgBiCl6", "functional": "PBE-GGA", "state": "optimized geometry", "lattice": [[0.000, 5.372, 5.372], [5.372, 0.000, 5.372], [5.372, 5.372, 0.000]], "species": ["K", "K", "Ag", "Bi", "Cl", "Cl", "Cl", "Cl", "Cl", "Cl"], "frac_coords": [[0.250, 0.250, 0.250], [0.750, 0.750, 0.750], [0.000, 0.000, 0.000], [0.500, 0.500, 0.500], [0.248, 0.248, 0.752], [0.248, 0.752, 0.248], [0.248, 0.752, 0.752], [0.752, 0.248, 0.248], [0.752, 0.248, 0.752], [0.752, 0.752, 0.248]], "energy_ev_per_fu": -32.75}

=====

Q: What is the formula in the third record?
A: CdCoAgBi